NiPt2RhO | SCAN | single point on PBEsol structure

```
NiPt2RhO
1.0
4.2537 0.0000 0.0000
0.0000 4.2537 0.0000
0.0000 0.0000 3.5869
Ni Pt Rh O
1 2 1 1
Direct
0.0000 0.0000 0.0000 Ni
0.0000 0.5000 0.5000 Pt
0.5000 0.0000 0.5000 Pt
0.5000 0.5000 0.0000 Rh
0.0000 0.0000 0.5000 O
```

Formation energy without anion corrections ... 0.34 eV/atom
Space group ... P4/mmm

***

Sr3NiPtO6 | SCAN | single point on PBEsol structure

```
Sr3NiPtO6
1.0
4.7451 2.7396 3.7403
-4.7451 2.7396 3.7403
0.0000 -5.4792 3.7403
Sr Ni Pt O
6 2 2 12
Direct
0.1136 0.7500 0.3864 Sr
0.2500 0.6136 0.8864 Sr
0.3864 0.1136 0.7500 Sr
0.6136 0.8864 0.2500 Sr
0.7500 0.3864 0.1136 Sr
0.8864 0.2500 0.6136 Sr
0.2500 0.2500 0.2500 Ni
0.7500 0.7500 0.7500 Ni
0.0000 0.0000 0.0000 Pt
0.5000 0.5000 0.5000 Pt
0.0356 0.9075 0.7124 O
0.0925 0.2876 0.9644 O
0.2124 0.4075 0.5356 O
0.2876 0.9644 0.0925 O
0.4075 0.5356 0.2124 O
0.4644 0.7876 0.5925 O
0.5356 0.2124 0.4075 O
0.5925 0.4644 0.7876 O
0.7124 0.0356 0.9075 O
0.7876 0.5925 0.4644 O
0.9075 0.7124 0.0356 O
0.9644 0.0925 0.2876 O
```

Formation energy without anion corrections ... -2.20 eV/atom
Space group ... R-3c